one:
{"formula": "CrNiTe2", "functional": "PBE-GGA", "state": "relaxed", "cell": [[0.000, 3.370, 3.370], [3.370, 0.000, 3.370], [3.370, 3.370, 0.000]], "species": ["Cr", "Ni", "Te", "Te"], "fractional_positions": [[0.000, 0.000, 0.000], [0.500, 0.500, 0.500], [0.250, 0.250, 0.250], [0.750, 0.750, 0.750]]}

two:
{"formula": "CrNiTe2", "functional": "PBE-GGA", "state": "relaxed", "cell": [[3.620, 0.000, 0.000], [0.000, 1.831, 5.985], [0.000, -1.831, 5.985]], "species": ["Cr", "Ni", "Te", "Te"], "fractional_positions": [[0.000, 0.000, 0.000], [0.500, 0.180, 0.180], [0.000, 0.666, 0.666], [0.500, 0.400, 0.400]]}

Most stable: two

one:
{"formula": "CrNiTe2", "functional": "PBE-GGA", "state": "relaxed", "cell": [[-2.984, 2.984, 5.906], [2.984, -2.984, 5.906], [2.984, 2.984, -5.906]], "species": ["Cr", "Cr", "Ni", "Ni", "Te", "Te", "Te", "Te"], "fractional_positions": [[0.000, 0.000, 0.000], [0.750, 0.250, 0.500], [0.250, 0.750, 0.500], [0.500, 0.500, 0.000], [0.140, 0.625, 0.015], [0.375, 0.390, 0.515], [0.610, 0.125, 0.985], [0.875, 0.860, 0.485]]}

two:
{"formula": "CrNiTe2", "functional": "PBE-GGA", "state": "relaxed", "cell": [[0.000, 3.460, 3.460], [3.460, 0.000, 3.460], [3.460, 3.460, 0.000]], "species": ["Cr", "Ni", "Te", "Te"], "fractional_positions": [[0.000, 0.000, 0.000], [0.750, 0.750, 0.750], [0.250, 0.250, 0.250], [0.500, 0.500, 0.500]]}

three:
{"formula": "CrNiTe2", "functional": "PBE-GGA", "state": "relaxed", "cell": [[8.307, 0.000, 0.000], [0.000, 6.247, 0.000], [-3.515, 0.000, 7.087]], "species": ["Cr", "Cr", "Cr", "Cr", "Ni", "Ni", "Ni", "Ni", "Te", "Te", "Te", "Te", "Te", "Te", "Te", "Te"], "fractional_positions": [[0.024, 0.027, 0.313], [0.024, 0.473, 0.813], [0.976, 0.527, 0.187], [0.976, 0.973, 0.687], [0.112, 0.648, 0.557], [0.112, 0.852, 0.057], [0.888, 0.148, 0.943], [0.888, 0.352, 0.443], [0.210, 0.248, 0.642], [0.210, 0.252, 0.142], [0.298, 0.746, 0.394], [0.298, 0.754, 0.894], [0.702, 0.246, 0.106], [0.702, 0.254, 0.606], [0.790, 0.748, 0.858], [0.790, 0.752, 0.358]]}

Most stable: three

one:
{"formula": "Cr2NiTe4", "functional": "PBE-GGA", "state": "relaxed", "cell": [[-2.607, 2.607, 6.566], [2.607, -2.607, 6.566], [2.607, 2.607, -6.566]], "species": ["Cr", "Cr", "Ni", "Te", "Te", "Te", "Te"], "fractional_positions": [[0.108, 0.108, 0.000], [0.892, 0.892, 0.000], [0.500, 0.500, 0.000], [0.000, 0.500, 0.500], [0.304, 0.304, 0.000], [0.500, 0.000, 0.500], [0.696, 0.696, 0.000]]}

two:
{"formula": "Cr2NiTe4", "functional": "PBE-GGA", "state": "relaxed", "cell": [[-3.915, 3.915, 5.528], [3.915, -3.915, 5.528], [3.915, 3.915, -5.528]], "species": ["Cr", "Cr", "Cr", "Cr", "Ni", "Ni", "Te", "Te", "Te", "Te", "Te", "Te", "Te", "Te"], "fractional_positions": [[0.000, 0.000, 0.000], [0.000, 0.000, 0.500], [0.000, 0.500, 0.000], [0.500, 0.000, 0.500], [0.375, 0.625, 0.750], [0.625, 0.375, 0.250], [0.237, 0.246, 0.991], [0.245, 0.754, 0.491], [0.246, 0.237, 0.491], [0.246, 0.755, 0.009], [0.754, 0.245, 0.991], [0.754, 0.763, 0.509], [0.755, 0.246, 0.509], [0.763, 0.754, 0.009]]}

Most stable: two